Material: Dy6TlPd
Method: DFT, PBE
State: relaxed

**Formation energy**: -0.06 eV per atom
**N(E_F)**: 9.45 states/eV per cell
**Total magnetization**: 0.0 Bohr magnetons per cell

Cell: 6.792 6.792 6.802 Å, 102.89 102.89 118.81°
Element x y z (fractional)
Dy  0.269  0.269  0.726
Dy  0.480  0.075  0.257
Dy  0.731  0.731  0.274
Dy  0.925  0.520  0.743
Dy  0.520  0.925  0.743
Dy  0.075  0.480  0.257
Tl  0.000  0.000  0.000
Pd  0.500  0.500  0.500